Here is Zn2SiP after structural relaxation from Alexandria via LeMat-Bulk. Energies are from PBE.

The calculation puts the uncorrected formation energy at 455.0 meV/atom. The space group is Fm-3m. Its total magnetization is 0.0 μB per formula unit. The total energy comes out at -2.8902 eV per atom.

abc: 4.4807 4.4807 4.4807
angles: 60.00 60.00 60.00
Fractional positions:
Zn (0.2500, 0.2500, 0.2500)
Zn (0.7500, 0.7500, 0.7500)
Si (0.0000, 0.0000, 0.0000)
P (0.5000, 0.5000, 0.5000)

---

Here is Zn2SiP after structural relaxation from Alexandria via LeMat-Bulk. Energies are from PBE.

The calculation puts the uncorrected formation energy at 351.8 meV/atom. The space group is I-42d. Its total magnetization is 0.0 μB per formula unit. The total energy comes out at -2.9934 eV per atom.

abc: 6.3298 6.3298 6.3298
angles: 124.41 124.41 82.52
Fractional positions:
Zn (0.1035, 0.6250, 0.9785)
Zn (0.3750, 0.3535, 0.4785)
Zn (0.6465, 0.1250, 0.0215)
Zn (0.8750, 0.8965, 0.5215)
Si (0.2500, 0.7500, 0.5000)
Si (0.5000, 0.5000, 0.0000)
P (0.0000, 0.0000, 0.0000)
P (0.7500, 0.2500, 0.5000)

---

Here is ZnSi2P after structural relaxation from Alexandria via LeMat-Bulk. Energies are from PBE.

The calculation puts the uncorrected formation energy at 441.5 meV/atom. The space group is Cmmm. Its excess energy over the best structure of this formula in the dataset is 1.10 eV per formula unit. Its total magnetization is 0.0 μB per formula unit. The total energy comes out at -3.9410 eV per atom.

abc: 2.6833 2.6833 9.6449
angles: 90.00 90.00 121.14
Fractional positions:
Zn (0.0000, 0.0000, 0.0000)
Si (0.5000, 0.5000, 0.2528)
Si (0.5000, 0.5000, 0.7472)
P (0.0000, 0.0000, 0.5000)

---

Please write out number 1 again, unchanged.
Here is Zn2SiP after structural relaxation from Alexandria via LeMat-Bulk. Energies are from PBE.

The calculation puts the uncorrected formation energy at 455.0 meV/atom. The space group is Fm-3m. Its total magnetization is 0.0 μB per formula unit. The total energy comes out at -2.8902 eV per atom.

abc: 4.4807 4.4807 4.4807
angles: 60.00 60.00 60.00
Fractional positions:
Zn (0.2500, 0.2500, 0.2500)
Zn (0.7500, 0.7500, 0.7500)
Si (0.0000, 0.0000, 0.0000)
P (0.5000, 0.5000, 0.5000)